Computed, not measured: a relaxed RbAlCoS3 crystal at the PBE level of DFT.

Cell: 14.9390 3.5695 10.0797 Å, 90.00 90.00 90.00°
Element x y z (fractional)
Al (0.5225, 0.2500, 0.1353)
Al (0.0225, 0.2500, 0.3647)
Al (0.9775, 0.7500, 0.6353)
Al (0.4775, 0.7500, 0.8647)
Co (0.0120, 0.7500, 0.0864)
Co (0.5120, 0.7500, 0.4136)
Co (0.4880, 0.2500, 0.5864)
Co (0.9880, 0.2500, 0.9136)
Rb (0.2349, 0.2500, 0.0416)
Rb (0.7349, 0.2500, 0.4584)
Rb (0.2651, 0.7500, 0.5416)
Rb (0.7651, 0.7500, 0.9584)
S (0.4177, 0.7500, 0.0798)
S (0.9283, 0.2500, 0.1119)
S (0.6090, 0.7500, 0.2346)
S (0.1090, 0.7500, 0.2654)
S (0.4283, 0.2500, 0.3881)
S (0.9177, 0.7500, 0.4202)
S (0.0823, 0.2500, 0.5798)
S (0.5717, 0.7500, 0.6119)
S (0.8910, 0.2500, 0.7346)
S (0.3910, 0.2500, 0.7654)
S (0.0717, 0.7500, 0.8881)
S (0.5823, 0.2500, 0.9202)

Output
DFT total energy	-117.2	eV per cell
distance to the lowest polymorph of the same formula	2	meV/atom
space group	Pnma (62)